Compound: HgRhS3
Source: Alexandria via LeMat-Bulk
Functional: PBE
Structure: relaxed

Properties
The formation energy without anion corrections comes out at 40.3 kJ per mole of atoms. The calculation puts the density of states at the Fermi level at 5.32 states/eV/cell. For the total energy, the calculation gives -3.590 eV/atom.

abc: 4.7039 4.7039 4.7039
angles: 90.00 90.00 90.00
With the nearest neighbours (Å) after each atom.
Space group Pm-3m (No. 221)
One atom of each set of equivalent atoms:
1 Hg 0.0000 0.0000 0.0000 x1  12 S 3.33
2 Rh 0.5000 0.5000 0.5000 x1  6 S 2.35
3 S 0.0000 0.5000 0.5000 x3  2 Rh 2.35